No. 1
# SbBr2F | Alexandria | PBE-GGA | relaxed
data_SbBr2F
_chemical_formula_sum 'Sb4 Br8 F4'
_cell_length_a 10.502
_cell_length_b 10.502
_cell_length_c 4.408
_cell_angle_alpha 90.00
_cell_angle_beta 90.00
_cell_angle_gamma 90.00
_space_group_name_H-M_alt 'I -4 2 d'
_space_group_IT_number 122
_space_group_name_Hall 'I -4 2bw'
loop_
_atom_site_label
_atom_site_fract_x
_atom_site_fract_y
_atom_site_fract_z
_atom_site_occupancy
Sb1 0.000 0.000 0.000 1
Br1 0.089 0.750 0.125 1
F1 0.000 0.000 0.500 1
# Theoretical density, g cm⁻³: 4.11
# Polymorph energy (0 for the lowest one), meV/atom: 92.8
# Total DFT energy (no corrections), eV/atom: -3.4119
# Raw formation energy, kJ/mol of formula units: -416



No. 2
# SbBr2F | Alexandria | PBE-GGA | relaxed
data_SbBr2F
_chemical_formula_sum 'Sb3 Br6 F3'
_cell_length_a 3.6029
_cell_length_b 3.6029
_cell_length_c 26.3393
_cell_angle_alpha 90.00
_cell_angle_beta 90.00
_cell_angle_gamma 120.00
_space_group_name_H-M_alt 'R -3 m'
_space_group_IT_number 166
_space_group_name_Hall '-R 3 2"'
loop_
_atom_site_label
_atom_site_fract_x
_atom_site_fract_y
_atom_site_fract_z
_atom_site_occupancy
Sb1 0.0000 0.0000 0.0000 1
Br1 0.0000 0.0000 0.0959 1
F1 0.0000 0.0000 0.5000 1
# Theoretical density, g cm⁻³: 5.06
# Polymorph energy (0 for the lowest one), meV/atom: 1122.6
# Total DFT energy (no corrections), eV/atom: -2.3820
# Raw formation energy, kJ/mol of formula units: -18



No. 3
# Tc2SbBrF | Alexandria | PBE-GGA | relaxed
data_Tc2SbBrF
_chemical_formula_sum 'Tc2 Sb1 Br1 F1'
_cell_length_a 4.517
_cell_length_b 4.517
_cell_length_c 5.607
_cell_angle_alpha 90.00
_cell_angle_beta 90.00
_cell_angle_gamma 90.00
_space_group_name_H-M_alt 'P 4/m m m'
_space_group_IT_number 123
_space_group_name_Hall '-P 4 2'
loop_
_atom_site_label
_atom_site_fract_x
_atom_site_fract_y
_atom_site_fract_z
_atom_site_occupancy
Tc1 0.000 0.500 0.000 1
Sb1 0.000 0.000 0.500 1
Br1 0.000 0.000 0.000 1
F1 0.500 0.500 0.500 1
# Theoretical density, g cm⁻³: 6.05
# Polymorph energy (0 for the lowest one), meV/atom: 568.6
# Total DFT energy (no corrections), eV/atom: -4.2665
# Raw formation energy, kJ/mol of formula units: 682



No. 4
# Tc2SbBrF | Alexandria | PBE-GGA | relaxed
data_Tc2SbBrF
_chemical_formula_sum 'Tc2 Sb1 Br1 F1'
_cell_length_a 4.682
_cell_length_b 4.682
_cell_length_c 4.302
_cell_angle_alpha 90.00
_cell_angle_beta 90.00
_cell_angle_gamma 90.00
_space_group_name_H-M_alt 'P 4/m m m'
_space_group_IT_number 123
_space_group_name_Hall '-P 4 2'
loop_
_atom_site_label
_atom_site_fract_x
_atom_site_fract_y
_atom_site_fract_z
_atom_site_occupancy
Tc1 0.000 0.500 0.000 1
Sb1 0.000 0.000 0.500 1
Br1 0.500 0.500 0.000 1
F1 0.500 0.500 0.500 1
# Theoretical density, g cm⁻³: 7.34
# Polymorph energy (0 for the lowest one), meV/atom: 0.0
# Total DFT energy (no corrections), eV/atom: -4.8351
# Raw formation energy, kJ/mol of formula units: 407



No. 5
# SbTe2BrF | Alexandria | PBE-GGA | relaxed
data_SbTe2BrF
_chemical_formula_sum 'Sb1 Te2 Br1 F1'
_cell_length_a 5.579
_cell_length_b 5.579
_cell_length_c 5.609
_cell_angle_alpha 90.00
_cell_angle_beta 90.00
_cell_angle_gamma 90.00
_space_group_name_H-M_alt 'P 4/m m m'
_space_group_IT_number 123
_space_group_name_Hall '-P 4 2'
loop_
_atom_site_label
_atom_site_fract_x
_atom_site_fract_y
_atom_site_fract_z
_atom_site_occupancy
Sb1 0.000 0.000 0.000 1
Te1 0.000 0.500 0.500 1
Br1 0.000 0.000 0.500 1
F1 0.500 0.500 0.000 1
# Theoretical density, g cm⁻³: 4.53
# Polymorph energy (0 for the lowest one), meV/atom: 635.7
# Total DFT energy (no corrections), eV/atom: -2.0641
# Raw formation energy, kJ/mol of formula units: 350



No. 6
# SbTe2BrF | Alexandria | PBE-GGA | relaxed
data_SbTe2BrF
_chemical_formula_sum 'Sb1 Te2 Br1 F1'
_cell_length_a 4.731
_cell_length_b 4.731
_cell_length_c 6.078
_cell_angle_alpha 90.00
_cell_angle_beta 90.00
_cell_angle_gamma 90.00
_space_group_name_H-M_alt 'P 4/m m m'
_space_group_IT_number 123
_space_group_name_Hall '-P 4 2'
loop_
_atom_site_label
_atom_site_fract_x
_atom_site_fract_y
_atom_site_fract_z
_atom_site_occupancy
Sb1 0.000 0.000 0.000 1
Te1 0.000 0.500 0.500 1
Br1 0.500 0.500 0.000 1
F1 0.000 0.000 0.500 1
# Theoretical density, g cm⁻³: 5.81
# Polymorph energy (0 for the lowest one), meV/atom: 0.0
# Total DFT energy (no corrections), eV/atom: -2.6998
# Raw formation energy, kJ/mol of formula units: 44